{"formula": "TlCu2Pt", "functional": "PBE", "state": "optimized geometry", "cell": [[-2.345, 0.452, 1.720], [-0.596, -3.418, 0.086], [3.664, -0.510, 5.128]], "species": ["Cu", "Cu", "Pt", "Tl"], "fractional_positions": [[0.000, 0.000, 0.047], [0.500, 0.500, 0.236], [0.000, 0.000, 0.460], [0.500, 0.500, 0.758]], "sg": "Pmm2 (25)", "delta_e_f_mev_per_atom": 102, "e_tot_ev_per_atom": -4.048}

***

{"formula": "NaLiY2F8", "functional": "PBE", "state": "optimized geometry", "cell": [[6.754, 0.000, 0.000], [0.000, 7.130, 0.000], [-1.552, 0.000, 6.575]], "species": ["F", "F", "F", "F", "F", "F", "F", "F", "F", "F", "F", "F", "F", "F", "F", "F", "Li", "Li", "Na", "Na", "Y", "Y", "Y", "Y"], "fractional_positions": [[0.087, 0.250, 0.087], [0.913, 0.750, 0.913], [0.393, 0.250, 0.393], [0.607, 0.750, 0.607], [0.747, 0.250, 0.308], [0.253, 0.750, 0.692], [0.308, 0.250, 0.747], [0.692, 0.750, 0.253], [0.936, 0.050, 0.661], [0.064, 0.550, 0.339], [0.064, 0.950, 0.339], [0.936, 0.450, 0.661], [0.661, 0.050, 0.936], [0.339, 0.550, 0.064], [0.339, 0.950, 0.064], [0.661, 0.450, 0.936], [0.000, 0.000, 0.000], [0.000, 0.500, 0.000], [0.660, 0.250, 0.660], [0.340, 0.750, 0.340], [0.451, 0.250, 0.077], [0.549, 0.750, 0.923], [0.923, 0.750, 0.549], [0.077, 0.250, 0.451]], "sg": "Cmcm (63)", "formation_energy_uncorrected_mev_per_atom": -3718, "e_tot_ev_per_atom": -6.312}

***

{"formula": "CuBF3", "functional": "PBE", "state": "optimized geometry", "cell": [[3.963, 0.000, 0.000], [0.000, 3.963, 0.000], [0.000, 0.000, 3.963]], "species": ["B", "Cu", "F", "F", "F"], "fractional_positions": [[0.500, 0.500, 0.500], [0.000, 0.000, 0.000], [0.000, 0.500, 0.000], [0.000, 0.000, 0.500], [0.500, 0.000, 0.000]], "sg": "Pm-3m (221)", "formation_energy_uncorrected_mev_per_atom": -440, "e_tot_ev_per_atom": -3.718}

***

{"formula": "Bi2AsPd", "functional": "PBE", "state": "optimized geometry", "cell": [[6.465, 0.000, 0.000], [0.000, 6.465, 0.000], [3.233, 3.233, 6.207]], "species": ["As", "As", "Bi", "Bi", "Bi", "Bi", "Pd", "Pd"], "fractional_positions": [[0.500, 0.500, 0.000], [0.250, 0.750, 0.500], [0.645, 0.125, 0.250], [0.105, 0.625, 0.250], [0.375, 0.355, 0.750], [0.875, 0.895, 0.750], [0.000, 0.000, 0.000], [0.750, 0.250, 0.500]], "sg": "I-42d (122)", "delta_e_f_mev_per_atom": 50, "e_tot_ev_per_atom": -4.351}

***

{"formula": "CdNiIr2", "functional": "PBE", "state": "optimized geometry", "cell": [[-1.882, -1.167, -1.716], [-0.733, -1.794, 2.023], [-5.271, 4.909, 2.444]], "species": ["Cd", "Ir", "Ir", "Ni"], "fractional_positions": [[0.500, 0.500, 0.750], [0.000, 0.000, 0.038], [0.000, 0.000, 0.462], [0.500, 0.500, 0.250]], "sg": "P4/mmm (123)", "delta_e_f_mev_per_atom": 183, "e_tot_ev_per_atom": -5.922}

***

{"formula": "Tb5NdDy2", "functional": "PBE", "state": "optimized geometry", "cell": [[7.933, -3.959, -0.051], [-11.512, 11.715, 0.088], [-0.065, 0.005, 11.190]], "species": ["Tb", "Tb", "Tb", "Tb", "Tb", "Tb", "Tb", "Tb", "Tb", "Tb", "Nd", "Nd", "Dy", "Dy", "Dy", "Dy"], "fractional_positions": [[0.355, 0.035, 0.918], [0.398, 0.053, 0.572], [0.486, 0.684, 0.423], [0.491, 0.685, 0.078], [0.554, 0.318, 0.251], [0.446, 0.682, 0.749], [0.514, 0.316, 0.577], [0.509, 0.315, 0.922], [0.645, 0.965, 0.082], [0.602, 0.947, 0.428], [0.343, 0.845, 0.754], [0.657, 0.155, 0.246], [0.666, 0.566, 0.380], [0.718, 0.588, 0.112], [0.334, 0.434, 0.620], [0.282, 0.412, 0.888]], "sg": "P-1 (2)", "delta_e_f_mev_per_atom": 178, "e_tot_ev_per_atom": -4.462}

***

{"formula": "Tb3Pm6Y2Th", "functional": "PBE", "state": "optimized geometry", "cell": [[-5.965, -1.481, 1.151], [3.302, -3.330, -4.135], [4.356, -5.655, 9.615]], "species": ["Tb", "Tb", "Tb", "Pm", "Pm", "Pm", "Pm", "Pm", "Pm", "Y", "Y", "Th"], "fractional_positions": [[0.167, 0.833, 0.500], [0.833, 0.167, 0.500], [0.500, 0.500, 0.500], [0.917, 0.587, 0.750], [0.754, 0.754, 0.249], [0.083, 0.413, 0.250], [0.587, 0.917, 0.750], [0.246, 0.246, 0.751], [0.413, 0.083, 0.250], [0.333, 0.667, 0.000], [0.667, 0.333, 0.000], [0.000, 0.000, 0.000]], "sg": "C2/m (12)", "delta_e_f_mev_per_atom": 29, "e_tot_ev_per_atom": -5.199}

***

{"formula": "Yb2Ru", "functional": "PBE", "state": "optimized geometry", "cell": [[3.361, 0.000, 0.000], [0.000, 3.361, 0.000], [0.000, 0.000, 7.033]], "species": ["Ru", "Yb", "Yb"], "fractional_positions": [[0.500, 0.500, 0.000], [0.000, 0.000, 0.762], [0.000, 0.000, 0.238]], "sg": "P4/mmm (123)", "delta_e_f_mev_per_atom": -18, "e_tot_ev_per_atom": -4.128}

***

{"formula": "CrCuAs2", "functional": "PBE", "state": "optimized geometry", "cell": [[-0.118, 4.098, 1.872], [-3.121, 0.971, 3.103], [1.200, 0.544, 4.310]], "species": ["As", "As", "Cr", "Cu"], "fractional_positions": [[0.000, 0.000, 0.000], [0.250, 0.250, 0.250], [0.500, 0.500, 0.500], [0.750, 0.750, 0.750]], "sg": "F-43m (216)", "delta_e_f_mev_per_atom": 435, "e_tot_ev_per_atom": -5.320}

***

{"formula": "AlCdSi", "functional": "PBE", "state": "optimized geometry", "cell": [[-1.332, -0.449, 5.451], [3.646, 0.177, 0.906], [-0.329, 5.811, 0.189]], "species": ["Si", "Si", "Al", "Al", "Cd", "Cd"], "fractional_positions": [[0.172, 0.500, 0.537], [0.779, 0.500, 0.338], [0.057, 0.000, 0.228], [0.488, 0.000, 0.441], [0.844, 0.500, 0.861], [0.406, 0.000, 0.914]], "sg": "Pm (6)", "formation_energy_uncorrected_mev_per_atom": 207, "e_tot_ev_per_atom": -3.153}

***

{"formula": "NaSn2F", "functional": "PBE", "state": "optimized geometry", "cell": [[4.052, 0.000, 0.000], [0.000, 4.052, 0.000], [2.026, 2.026, 12.993]], "species": ["Na", "Na", "Sn", "Sn", "Sn", "Sn", "F", "F"], "fractional_positions": [[0.000, 0.000, 0.000], [0.750, 0.250, 0.500], [0.626, 0.125, 0.250], [0.124, 0.625, 0.250], [0.375, 0.374, 0.750], [0.875, 0.876, 0.750], [0.500, 0.500, 0.000], [0.250, 0.750, 0.500]], "sg": "I-42d (122)", "formation_energy_uncorrected_mev_per_atom": -767, "e_tot_ev_per_atom": -3.566}

***

{"formula": "Ho3MgIr4", "functional": "PBE", "state": "optimized geometry", "cell": [[-1.515, -4.475, 0.320], [4.049, -1.509, -1.938], [1.461, 2.505, 6.899]], "species": ["Mg", "Ir", "Ir", "Ir", "Ir", "Ho", "Ho", "Ho"], "fractional_positions": [[0.500, 0.000, 0.000], [0.378, 0.378, 0.756], [0.622, 0.622, 0.244], [0.122, 0.122, 0.244], [0.878, 0.878, 0.756], [0.000, 0.500, 0.000], [0.746, 0.246, 0.493], [0.254, 0.754, 0.507]], "sg": "I4/mmm (139)", "delta_e_f_mev_per_atom": -713, "e_tot_ev_per_atom": -7.060}

***

{"formula": "Tb6Te5Pb", "functional": "PBE", "state": "optimized geometry", "cell": [[7.547, 0.167, 1.137], [1.838, 6.372, 3.714], [0.124, 0.074, 7.590]], "species": ["Pb", "Te", "Te", "Te", "Te", "Te", "Tb", "Tb", "Tb", "Tb", "Tb", "Tb"], "fractional_positions": [[0.000, 0.000, 0.000], [0.500, 0.168, 0.663], [0.000, 0.334, 0.332], [0.500, 0.500, 0.000], [0.000, 0.666, 0.668], [0.500, 0.832, 0.337], [0.753, 0.082, 0.329], [0.247, 0.589, 0.329], [0.249, 0.245, 0.000], [0.751, 0.755, 0.000], [0.753, 0.411, 0.671], [0.247, 0.918, 0.671]], "sg": "C2/m (12)", "formation_energy_uncorrected_mev_per_atom": -1214, "e_tot_ev_per_atom": -5.147}

***

{"formula": "CdHg", "functional": "PBE", "state": "optimized geometry", "cell": [[-1.329, 0.599, 2.886], [2.280, -2.274, -0.289], [8.715, 6.324, 0.889]], "species": ["Hg", "Hg", "Cd", "Cd"], "fractional_positions": [[0.501, 0.499, 0.504], [0.749, 0.251, 0.246], [0.999, 0.001, 0.997], [0.251, 0.749, 0.753]], "sg": "R-3m (166)", "delta_e_f_mev_per_atom": 36, "e_tot_ev_per_atom": -0.573}

***

{"formula": "Ac3Pm5Dy2", "functional": "PBE", "state": "optimized geometry", "cell": [[-4.403, -3.970, 9.521], [-7.464, -4.067, -5.148], [9.701, -1.951, -2.933]], "species": ["Ac", "Ac", "Ac", "Ac", "Ac", "Ac", "Pm", "Pm", "Pm", "Pm", "Pm", "Pm", "Pm", "Pm", "Pm", "Pm", "Dy", "Dy", "Dy", "Dy"], "fractional_positions": [[0.250, 0.000, 0.000], [0.750, 0.000, 0.000], [0.624, 0.372, 0.248], [0.376, 0.628, 0.752], [0.124, 0.877, 0.248], [0.876, 0.123, 0.752], [0.250, 0.500, 0.000], [0.750, 0.500, 0.000], [0.994, 0.744, 0.488], [0.506, 0.256, 0.512], [0.006, 0.256, 0.512], [0.494, 0.744, 0.488], [0.879, 0.478, 0.758], [0.121, 0.522, 0.242], [0.379, 0.280, 0.758], [0.621, 0.720, 0.242], [0.861, 0.766, 0.722], [0.139, 0.234, 0.278], [0.361, 0.956, 0.722], [0.639, 0.044, 0.278]], "sg": "Ibam (72)", "delta_e_f_mev_per_atom": 340, "e_tot_ev_per_atom": -4.188}

***

{"formula": "Pr2Al4Zn3Cd", "functional": "PBE", "state": "optimized geometry", "cell": [[-2.953, 1.713, 2.647], [-3.027, -2.554, -1.724], [2.230, -7.674, 7.454]], "species": ["Pr", "Pr", "Al", "Al", "Al", "Al", "Zn", "Zn", "Zn", "Cd"], "fractional_positions": [[0.500, 0.000, 0.245], [0.000, 0.500, 0.755], [0.500, 0.500, 0.000], [0.000, 0.000, 0.000], [0.500, 0.000, 0.642], [0.000, 0.500, 0.358], [0.000, 0.000, 0.500], [0.500, 0.000, 0.868], [0.000, 0.500, 0.132], [0.500, 0.500, 0.500]], "sg": "P-4m2 (115)", "delta_e_f_mev_per_atom": -389, "e_tot_ev_per_atom": -3.316}

***

{"formula": "Rb2RhSeI6", "functional": "PBE", "state": "optimized geometry", "cell": [[-3.051, -2.866, -7.047], [0.389, -7.641, 2.940], [-6.600, -4.727, 0.013]], "species": ["I", "I", "I", "I", "I", "I", "Rh", "Se", "Rb", "Rb"], "fractional_positions": [[0.241, 0.241, 0.518], [0.759, 0.759, 0.482], [0.236, 0.236, 0.000], [0.764, 0.764, 0.000], [0.764, 0.236, 0.000], [0.236, 0.764, 0.000], [0.000, 0.000, 0.000], [0.500, 0.500, 0.000], [0.750, 0.250, 0.500], [0.250, 0.750, 0.500]], "sg": "I4/mmm (139)", "formation_energy_uncorrected_mev_per_atom": -564, "e_tot_ev_per_atom": -2.771}

***

{"formula": "AcTm2Sb", "functional": "PBE", "state": "optimized geometry", "cell": [[3.943, 0.000, 0.000], [0.000, 3.943, 0.000], [0.000, 0.000, 7.932]], "species": ["Sb", "Ac", "Tm", "Tm"], "fractional_positions": [[0.500, 0.500, 0.000], [0.500, 0.500, 0.500], [0.000, 0.000, 0.798], [0.000, 0.000, 0.202]], "sg": "P4/mmm (123)", "formation_energy_uncorrected_mev_per_atom": -421, "e_tot_ev_per_atom": -4.715}

***

{"formula": "LaRh2Pb", "functional": "PBE", "state": "optimized geometry", "cell": [[7.424, 0.000, 0.000], [0.000, 7.424, 0.000], [3.712, 3.712, 3.287]], "species": ["Pb", "Pb", "Rh", "Rh", "Rh", "Rh", "La", "La"], "fractional_positions": [[0.000, 0.000, 0.000], [0.750, 0.250, 0.500], [0.625, 0.125, 0.250], [0.125, 0.625, 0.250], [0.375, 0.375, 0.750], [0.875, 0.875, 0.750], [0.500, 0.500, 0.000], [0.250, 0.750, 0.500]], "sg": "I-42d (122)", "delta_e_f_mev_per_atom": -164, "e_tot_ev_per_atom": -5.999}

***

{"formula": "LiHgSb2Te", "functional": "PBE", "state": "optimized geometry", "cell": [[-3.329, 3.850, 0.069], [-2.542, -2.129, -3.862], [-2.959, -2.620, 3.392]], "species": ["Sb", "Sb", "Te", "Hg", "Li"], "fractional_positions": [[0.000, 0.500, 0.000], [0.500, 0.000, 0.000], [0.000, 0.000, 0.500], [0.500, 0.500, 0.500], [0.000, 0.000, 0.000]], "sg": "P4/mmm (123)", "formation_energy_uncorrected_mev_per_atom": 280, "e_tot_ev_per_atom": -2.441}

***

{"formula": "AcMnIr", "functional": "PBE", "state": "optimized geometry", "cell": [[-0.595, -1.584, 3.776], [3.965, -3.254, -3.007], [4.334, 3.351, 2.089]], "species": ["Ir", "Ir", "Mn", "Mn", "Ac", "Ac"], "fractional_positions": [[0.581, 0.163, 0.750], [0.419, 0.837, 0.250], [0.000, 0.000, 0.500], [0.000, 0.000, 0.000], [0.699, 0.397, 0.250], [0.301, 0.603, 0.750]], "sg": "Cmcm (63)", "delta_e_f_mev_per_atom": -214, "e_tot_ev_per_atom": -7.593}

***

{"formula": "Pr4TlTeH", "functional": "PBE", "state": "optimized geometry", "cell": [[6.558, 0.000, 0.000], [0.000, 6.606, 0.000], [-3.279, 0.000, 8.964]], "species": ["Pr", "Pr", "Pr", "Pr", "Pr", "Pr", "Pr", "Pr", "Tl", "Tl", "Te", "Te", "H", "H"], "fractional_positions": [[0.929, 0.250, 0.859], [0.427, 0.750, 0.855], [0.071, 0.750, 0.141], [0.573, 0.250, 0.145], [0.500, 0.500, 0.500], [0.000, 0.000, 0.500], [0.500, 0.000, 0.500], [0.000, 0.500, 0.500], [0.109, 0.250, 0.218], [0.891, 0.750, 0.782], [0.612, 0.750, 0.225], [0.388, 0.250, 0.775], [0.294, 0.750, 0.588], [0.706, 0.250, 0.412]], "sg": "Cmcm (63)", "e_tot_ev_per_atom": -4.653}

***

{"formula": "LaPm2Au", "functional": "PBE", "state": "optimized geometry", "cell": [[-2.670, -0.606, -4.608], [2.180, -2.808, -4.011], [-2.013, -4.792, -1.321]], "species": ["La", "Au", "Pm", "Pm"], "fractional_positions": [[0.500, 0.500, 0.500], [0.000, 0.000, 0.000], [0.250, 0.250, 0.250], [0.750, 0.750, 0.750]], "sg": "Fm-3m (225)", "delta_e_f_mev_per_atom": -156, "e_tot_ev_per_atom": -4.582}

***

{"formula": "Ce2PrNpO8", "functional": "PBE", "state": "optimized geometry", "cell": [[-0.622, -3.604, 1.470], [-0.265, -2.026, -5.082], [7.503, -1.252, 0.109]], "species": ["Ce", "Ce", "Pr", "Np", "O", "O", "O", "O", "O", "O", "O", "O"], "fractional_positions": [[0.500, 0.500, 0.751], [0.500, 0.500, 0.249], [0.000, 0.000, 0.500], [0.000, 0.000, 0.000], [0.000, 0.752, 0.228], [0.500, 0.765, 0.000], [0.000, 0.248, 0.228], [0.000, 0.248, 0.772], [0.500, 0.235, 0.000], [0.000, 0.752, 0.772], [0.500, 0.736, 0.500], [0.500, 0.264, 0.500]], "sg": "Pmmm (47)", "formation_energy_uncorrected_mev_per_atom": -3305, "e_tot_ev_per_atom": -9.076}